--- 1 ---
VASP calculation (PBE-GGA) on a relaxed InGeP2O crystal.

```
data_InGeP2O
_space_group_name_H-M_alt 'P 4/m m m'
_space_group_IT_number 123
_space_group_name_Hall '-P 4 2'
_cell_length_a 5.232
_cell_length_b 5.232
_cell_length_c 4.033
_cell_angle_alpha 90.00
_cell_angle_beta 90.00
_cell_angle_gamma 90.00
loop_
_atom_site_label
_atom_site_type_symbol
_atom_site_fract_x
_atom_site_fract_y
_atom_site_fract_z
In1 In 0.000 0.000 0.000
Ge1 Ge 0.500 0.500 0.500
P1 P 0.000 0.500 0.000
O1 O 0.000 0.000 0.500
```

Values from the calculation:
- Size of the total moment: 0.0 Bohr magnetons per cell

--- 2 ---
VASP calculation (PBE-GGA) on a relaxed InGeP2O crystal.

```
data_InGeP2O
_space_group_name_H-M_alt 'P 4/m m m'
_space_group_IT_number 123
_space_group_name_Hall '-P 4 2'
_cell_length_a 5.015
_cell_length_b 5.015
_cell_length_c 3.609
_cell_angle_alpha 90.00
_cell_angle_beta 90.00
_cell_angle_gamma 90.00
loop_
_atom_site_label
_atom_site_type_symbol
_atom_site_fract_x
_atom_site_fract_y
_atom_site_fract_z
In1 In 0.000 0.000 0.000
Ge1 Ge 0.500 0.500 0.500
P1 P 0.000 0.500 0.500
O1 O 0.500 0.500 0.000
```

Values from the calculation:
- Size of the total moment: 0.0 Bohr magnetons per cell

Most stable: 2. Least stable: 1.

--- 1 ---
VASP calculation (PBE-GGA) on a relaxed InGePO2 crystal.

```
data_InGePO2
_space_group_name_H-M_alt 'P 4/m m m'
_space_group_IT_number 123
_space_group_name_Hall '-P 4 2'
_cell_length_a 4.052
_cell_length_b 4.052
_cell_length_c 5.456
_cell_angle_alpha 90.00
_cell_angle_beta 90.00
_cell_angle_gamma 90.00
loop_
_atom_site_label
_atom_site_type_symbol
_atom_site_fract_x
_atom_site_fract_y
_atom_site_fract_z
In1 In 0.000 0.000 0.000
Ge1 Ge 0.500 0.500 0.500
P1 P 0.000 0.000 0.500
O1 O 0.000 0.500 0.000
```

Values from the calculation:
- Size of the total moment: 1.0 Bohr magnetons per cell

--- 2 ---
VASP calculation (PBE-GGA) on a relaxed InGePO2 crystal.

```
data_InGePO2
_space_group_name_H-M_alt 'P 4/m m m'
_space_group_IT_number 123
_space_group_name_Hall '-P 4 2'
_cell_length_a 3.772
_cell_length_b 3.772
_cell_length_c 5.129
_cell_angle_alpha 90.00
_cell_angle_beta 90.00
_cell_angle_gamma 90.00
loop_
_atom_site_label
_atom_site_type_symbol
_atom_site_fract_x
_atom_site_fract_y
_atom_site_fract_z
In1 In 0.000 0.000 0.000
Ge1 Ge 0.500 0.500 0.500
P1 P 0.500 0.500 0.000
O1 O 0.000 0.500 0.500
```

Values from the calculation:
- Size of the total moment: 0.1 Bohr magnetons per cell

Most stable: 2. Least stable: 1.

--- 1 ---
VASP calculation (PBE-GGA) on a relaxed In3GeOs crystal.

```
data_In3GeOs
_space_group_name_H-M_alt 'P m -3 m'
_space_group_IT_number 221
_space_group_name_Hall '-P 4 2 3'
_cell_length_a 5.167
_cell_length_b 5.167
_cell_length_c 5.167
_cell_angle_alpha 90.00
_cell_angle_beta 90.00
_cell_angle_gamma 90.00
loop_
_atom_site_label
_atom_site_type_symbol
_atom_site_fract_x
_atom_site_fract_y
_atom_site_fract_z
In1 In 0.000 0.000 0.500
Ge1 Ge 0.000 0.000 0.000
Os1 Os 0.500 0.500 0.500
```

Values from the calculation:
- Size of the total moment: 2.0 Bohr magnetons per cell

--- 2 ---
VASP calculation (PBE-GGA) on a relaxed In3GeOs crystal.

```
data_In3GeOs
_space_group_name_H-M_alt 'P m -3 m'
_space_group_IT_number 221
_space_group_name_Hall '-P 4 2 3'
_cell_length_a 5.184
_cell_length_b 5.184
_cell_length_c 5.184
_cell_angle_alpha 90.00
_cell_angle_beta 90.00
_cell_angle_gamma 90.00
loop_
_atom_site_label
_atom_site_type_symbol
_atom_site_fract_x
_atom_site_fract_y
_atom_site_fract_z
In1 In 0.000 0.000 0.500
Ge1 Ge 0.500 0.500 0.500
Os1 Os 0.000 0.000 0.000
```

Values from the calculation:
- Size of the total moment: 1.3 Bohr magnetons per cell

Most stable: 2. Least stable: 1.

--- 1 ---
VASP calculation (PBE-GGA) on a relaxed InGeOs2 crystal.

```
data_InGeOs2
_space_group_name_H-M_alt 'I -4 2 d'
_space_group_IT_number 122
_space_group_name_Hall 'I -4 2bw'
_cell_length_a 4.151
_cell_length_b 4.151
_cell_length_c 17.825
_cell_angle_alpha 90.00
_cell_angle_beta 90.00
_cell_angle_gamma 90.00
loop_
_atom_site_label
_atom_site_type_symbol
_atom_site_fract_x
_atom_site_fract_y
_atom_site_fract_z
In1 In 0.000 0.000 0.000
Ge1 Ge 0.000 0.000 0.500
Os1 Os 0.161 0.250 0.625
```

Values from the calculation:
- Size of the total moment: 0.0 Bohr magnetons per cell

--- 2 ---
VASP calculation (PBE-GGA) on a relaxed InGeOs2 crystal.

```
data_InGeOs2
_space_group_name_H-M_alt 'F m -3 m'
_space_group_IT_number 225
_space_group_name_Hall '-F 4 2 3'
_cell_length_a 6.315
_cell_length_b 6.315
_cell_length_c 6.315
_cell_angle_alpha 90.00
_cell_angle_beta 90.00
_cell_angle_gamma 90.00
loop_
_atom_site_label
_atom_site_type_symbol
_atom_site_fract_x
_atom_site_fract_y
_atom_site_fract_z
In1 In 0.000 0.000 0.000
Ge1 Ge 0.000 0.000 0.500
Os1 Os 0.250 0.250 0.250
```

Values from the calculation:
- Size of the total moment: 0.0 Bohr magnetons per cell

Most stable: 2. Least stable: 1.

--- 1 ---
VASP calculation (PBE-GGA) on a relaxed InGeOs3 crystal.

```
data_InGeOs3
_space_group_name_H-M_alt 'P m -3 m'
_space_group_IT_number 221
_space_group_name_Hall '-P 4 2 3'
_cell_length_a 4.885
_cell_length_b 4.885
_cell_length_c 4.885
_cell_angle_alpha 90.00
_cell_angle_beta 90.00
_cell_angle_gamma 90.00
loop_
_atom_site_label
_atom_site_type_symbol
_atom_site_fract_x
_atom_site_fract_y
_atom_site_fract_z
In1 In 0.000 0.000 0.000
Ge1 Ge 0.500 0.500 0.500
Os1 Os 0.000 0.000 0.500
```

Values from the calculation:
- Size of the total moment: 4.8 Bohr magnetons per cell

--- 2 ---
VASP calculation (PBE-GGA) on a relaxed InGeOs3 crystal.

```
data_InGeOs3
_space_group_name_H-M_alt 'P m -3 m'
_space_group_IT_number 221
_space_group_name_Hall '-P 4 2 3'
_cell_length_a 4.549
_cell_length_b 4.549
_cell_length_c 4.549
_cell_angle_alpha 90.00
_cell_angle_beta 90.00
_cell_angle_gamma 90.00
loop_
_atom_site_label
_atom_site_type_symbol
_atom_site_fract_x
_atom_site_fract_y
_atom_site_fract_z
In1 In 0.000 0.000 0.000
Ge1 Ge 0.500 0.500 0.500
Os1 Os 0.000 0.500 0.500
```

Values from the calculation:
- Size of the total moment: 0.7 Bohr magnetons per cell

Most stable: 2. Least stable: 1.

--- 1 ---
VASP calculation (PBE-GGA) on a relaxed In2GeP crystal.

```
data_In2GeP
_space_group_name_H-M_alt 'F m -3 m'
_space_group_IT_number 225
_space_group_name_Hall '-F 4 2 3'
_cell_length_a 7.034
_cell_length_b 7.034
_cell_length_c 7.034
_cell_angle_alpha 90.00
_cell_angle_beta 90.00
_cell_angle_gamma 90.00
loop_
_atom_site_label
_atom_site_type_symbol
_atom_site_fract_x
_atom_site_fract_y
_atom_site_fract_z
In1 In 0.250 0.250 0.250
Ge1 Ge 0.000 0.000 0.000
P1 P 0.000 0.000 0.500
```

Values from the calculation:
- Size of the total moment: 0.0 Bohr magnetons per cell

--- 2 ---
VASP calculation (PBE-GGA) on a relaxed In2GeP crystal.

```
data_In2GeP
_space_group_name_H-M_alt 'I -4 2 d'
_space_group_IT_number 122
_space_group_name_Hall 'I -4 2bw'
_cell_length_a 6.184
_cell_length_b 6.184
_cell_length_c 11.850
_cell_angle_alpha 90.00
_cell_angle_beta 90.00
_cell_angle_gamma 90.00
loop_
_atom_site_label
_atom_site_type_symbol
_atom_site_fract_x
_atom_site_fract_y
_atom_site_fract_z
In1 In 0.236 0.250 0.125
Ge1 Ge 0.000 0.000 0.500
P1 P 0.000 0.000 0.000
```

Values from the calculation:
- Size of the total moment: 0.0 Bohr magnetons per cell

Most stable: 2. Least stable: 1.

--- 1 ---
VASP calculation (PBE-GGA) on a relaxed In2Ge2Pb crystal.

```
data_In2Ge2Pb
_space_group_name_H-M_alt 'I 4/m m m'
_space_group_IT_number 139
_space_group_name_Hall '-I 4 2'
_cell_length_a 4.612
_cell_length_b 4.612
_cell_length_c 12.420
_cell_angle_alpha 90.00
_cell_angle_beta 90.00
_cell_angle_gamma 90.00
loop_
_atom_site_label
_atom_site_type_symbol
_atom_site_fract_x
_atom_site_fract_y
_atom_site_fract_z
In1 In 0.000 0.000 0.114
Ge1 Ge 0.000 0.500 0.250
Pb1 Pb 0.000 0.000 0.500
```

Values from the calculation:
- Size of the total moment: 0.0 Bohr magnetons per cell

--- 2 ---
VASP calculation (PBE-GGA) on a relaxed In2Ge2Pb crystal.

```
data_In2Ge2Pb
_space_group_name_H-M_alt 'P 4/m b m'
_space_group_IT_number 127
_space_group_name_Hall '-P 4 2ab'
_cell_length_a 8.615
_cell_length_b 8.615
_cell_length_c 3.356
_cell_angle_alpha 90.00
_cell_angle_beta 90.00
_cell_angle_gamma 90.00
loop_
_atom_site_label
_atom_site_type_symbol
_atom_site_fract_x
_atom_site_fract_y
_atom_site_fract_z
In1 In 0.137 0.363 0.000
Ge1 Ge 0.159 0.659 0.500
Pb1 Pb 0.000 0.000 0.000
```

Values from the calculation:
- Size of the total moment: 0.0 Bohr magnetons per cell

--- 3 ---
VASP calculation (PBE-GGA) on a relaxed In2Ge2Pb crystal.

```
data_In2Ge2Pb
_space_group_name_H-M_alt 'I 4/m m m'
_space_group_IT_number 139
_space_group_name_Hall '-I 4 2'
_cell_length_a 4.441
_cell_length_b 4.441
_cell_length_c 13.244
_cell_angle_alpha 90.00
_cell_angle_beta 90.00
_cell_angle_gamma 90.00
loop_
_atom_site_label
_atom_site_type_symbol
_atom_site_fract_x
_atom_site_fract_y
_atom_site_fract_z
In1 In 0.000 0.500 0.250
Ge1 Ge 0.000 0.000 0.099
Pb1 Pb 0.000 0.000 0.500
```

Values from the calculation:
- Size of the total moment: 0.0 Bohr magnetons per cell

Most stable: 2. Least stable: 1.

--- 1 ---
VASP calculation (PBE-GGA) on a relaxed In2GePb crystal.

```
data_In2GePb
_space_group_name_H-M_alt 'P 4/m m m'
_space_group_IT_number 123
_space_group_name_Hall '-P 4 2'
_cell_length_a 4.696
_cell_length_b 4.696
_cell_length_c 4.812
_cell_angle_alpha 90.00
_cell_angle_beta 90.00
_cell_angle_gamma 90.00
loop_
_atom_site_label
_atom_site_type_symbol
_atom_site_fract_x
_atom_site_fract_y
_atom_site_fract_z
In1 In 0.000 0.500 0.000
Ge1 Ge 0.000 0.000 0.500
Pb1 Pb 0.500 0.500 0.500
```

Values from the calculation:
- Size of the total moment: 0.0 Bohr magnetons per cell

--- 2 ---
VASP calculation (PBE-GGA) on a relaxed In2GePb crystal.

```
data_In2GePb
_space_group_name_H-M_alt 'F m -3 m'
_space_group_IT_number 225
_space_group_name_Hall '-F 4 2 3'
_cell_length_a 7.510
_cell_length_b 7.510
_cell_length_c 7.510
_cell_angle_alpha 90.00
_cell_angle_beta 90.00
_cell_angle_gamma 90.00
loop_
_atom_site_label
_atom_site_type_symbol
_atom_site_fract_x
_atom_site_fract_y
_atom_site_fract_z
In1 In 0.250 0.250 0.250
Ge1 Ge 0.000 0.000 0.000
Pb1 Pb 0.000 0.000 0.500
```

Values from the calculation:
- Size of the total moment: 0.0 Bohr magnetons per cell

--- 3 ---
VASP calculation (PBE-GGA) on a relaxed In2GePb crystal.

```
data_In2GePb
_space_group_name_H-M_alt 'I -4 2 d'
_space_group_IT_number 122
_space_group_name_Hall 'I -4 2bw'
_cell_length_a 6.701
_cell_length_b 6.701
_cell_length_c 12.365
_cell_angle_alpha 90.00
_cell_angle_beta 90.00
_cell_angle_gamma 90.00
loop_
_atom_site_label
_atom_site_type_symbol
_atom_site_fract_x
_atom_site_fract_y
_atom_site_fract_z
In1 In 0.208 0.250 0.125
Ge1 Ge 0.000 0.000 0.000
Pb1 Pb 0.000 0.000 0.500
```

Values from the calculation:
- Size of the total moment: 0.0 Bohr magnetons per cell

Most stable: 1. Least stable: 3.